(1)
This record from Alexandria via LeMat-Bulk describes a relaxed AsPOs2 crystal. The functional is PBE.

Values from the calculation:
The calculation puts the excess energy over the best structure of this formula in the dataset at 141 meV per atom.

Cell lengths 7.7975, 2.9225, 5.1210 Å; angles 90.00, 102.70, 90.00 degrees
Fractional positions:
As: 0.0000 0.0000 0.0000
As: 0.5000 0.5000 0.0000
P: 0.0000 0.5000 0.5000
P: 0.5000 0.0000 0.5000
Os: 0.2441 0.0000 0.7329
Os: 0.2559 0.5000 0.2671
Os: 0.7441 0.5000 0.7329
Os: 0.7559 0.0000 0.2671

=====

(2)
This record from Alexandria via LeMat-Bulk describes a relaxed As2POs crystal. The functional is PBE.

Cell lengths 2.9249, 2.9249, 8.2800 Å; angles 90.00, 90.00, 90.00 degrees
Fractional positions:
As: 0.0000 0.0000 0.1973
As: 0.0000 0.0000 0.8027
P: 0.5000 0.5000 0.5000
Os: 0.5000 0.5000 0.0000

=====

(3)
This record from Alexandria via LeMat-Bulk describes a relaxed AsPOs crystal. The functional is PBE.

Values from the calculation:
The calculation puts the excess energy over the best structure of this formula in the dataset at 1256 meV per atom.

Cell lengths 5.9029, 5.9029, 5.9029 Å; angles 90.00, 90.00, 90.00 degrees
Fractional positions:
As: 0.0000 0.0000 0.0000
As: 0.0000 0.5000 0.5000
As: 0.5000 0.0000 0.5000
As: 0.5000 0.5000 0.0000
P: 0.2500 0.2500 0.2500
P: 0.2500 0.7500 0.7500
P: 0.7500 0.2500 0.7500
P: 0.7500 0.7500 0.2500
Os: 0.2500 0.2500 0.7500
Os: 0.2500 0.7500 0.2500
Os: 0.7500 0.2500 0.2500
Os: 0.7500 0.7500 0.7500

=====

(4)
This record from Alexandria via LeMat-Bulk describes a relaxed AsPOs crystal. The functional is PBE.

Values from the calculation:
The calculation puts the excess energy over the best structure of this formula in the dataset at 704 meV per atom.

Cell lengths 2.9647, 8.3580, 8.3580 Å; angles 134.91, 90.00, 90.00 degrees
Fractional positions:
As: 0.0000 0.0000 0.0000
As: 0.5000 0.6220 0.8795
As: 0.5000 0.8795 0.6220
P: 0.5000 0.0965 0.4401
P: 0.5000 0.3300 0.3300
P: 0.5000 0.4401 0.0965
Os: 0.0000 0.3095 0.7903
Os: 0.0000 0.6035 0.6035
Os: 0.0000 0.7903 0.3095

=====

(5)
This record from Alexandria via LeMat-Bulk describes a relaxed As2POs crystal. The functional is PBE.

Cell lengths 2.8955, 4.8908, 9.5051 Å; angles 90.00, 90.00, 90.00 degrees
Fractional positions:
As: 0.0000 0.0000 0.2255
As: 0.0000 0.0000 0.7745
As: 0.5000 0.5000 0.2255
As: 0.5000 0.5000 0.7745
P: 0.0000 0.5000 0.5000
P: 0.5000 0.0000 0.5000
Os: 0.0000 0.5000 0.0000
Os: 0.5000 0.0000 0.0000

=====

(6)
This record from Alexandria via LeMat-Bulk describes a relaxed AsPOs crystal. The functional is PBE.

Values from the calculation:
The calculation puts the excess energy over the best structure of this formula in the dataset at 746 meV per atom.

Cell lengths 4.1496, 4.1496, 3.1263 Å; angles 90.00, 90.00, 120.00 degrees
Fractional positions:
As: 0.0000 0.0000 0.0000
P: 0.3333 0.6667 0.5000
Os: 0.6667 0.3333 0.5000

=====

(7)
This record from Alexandria via LeMat-Bulk describes a relaxed AsPOs2 crystal. The functional is PBE.

Values from the calculation:
The calculation puts the excess energy over the best structure of this formula in the dataset at 57 meV per atom.

Cell lengths 2.8841, 2.8841, 7.8480 Å; angles 90.00, 90.00, 90.00 degrees
Fractional positions:
As: 0.0000 0.0000 0.0000
P: 0.5000 0.5000 0.6258
Os: 0.0000 0.0000 0.4510
Os: 0.5000 0.5000 0.2029

=====

(8)
This record from Alexandria via LeMat-Bulk describes a relaxed As2POs crystal. The functional is PBE.

Cell lengths 3.0119, 4.5318, 4.6048 Å; angles 90.00, 90.00, 90.00 degrees
Fractional positions:
As: 0.0000 0.0000 0.0000
As: 0.5000 0.5000 0.0000
P: 0.0000 0.5000 0.5000
Os: 0.5000 0.0000 0.5000

=====

(9)
This record from Alexandria via LeMat-Bulk describes a relaxed AsPOs2 crystal. The functional is PBE.

Values from the calculation:
The calculation puts the excess energy over the best structure of this formula in the dataset at 117 meV per atom.

Cell lengths 2.9287, 2.9287, 23.0208 Å; angles 90.00, 90.00, 120.00 degrees
Fractional positions:
As: 0.0000 0.0000 0.0000
As: 0.3333 0.6667 0.6667
As: 0.6667 0.3333 0.3333
P: 0.0000 0.0000 0.5000
P: 0.3333 0.6667 0.1667
P: 0.6667 0.3333 0.8333
Os: 0.0000 0.0000 0.2434
Os: 0.0000 0.0000 0.7566
Os: 0.3333 0.6667 0.4233
Os: 0.3333 0.6667 0.9100
Os: 0.6667 0.3333 0.0900
Os: 0.6667 0.3333 0.5767

=====

(10)
This record from Alexandria via LeMat-Bulk describes a relaxed AsPOs crystal. The functional is PBE.

Values from the calculation:
The calculation puts the excess energy over the best structure of this formula in the dataset at 481 meV per atom.

Cell lengths 12.2369, 2.9221, 2.9155 Å; angles 90.00, 103.14, 90.00 degrees
Fractional positions:
As: 0.0000 0.0000 0.0000
As: 0.5000 0.5000 0.0000
P: 0.2649 0.0000 0.2980
P: 0.7649 0.5000 0.2980
Os: 0.1488 0.5000 0.7138
Os: 0.6488 0.0000 0.7138

=====

(11)
This record from Alexandria via LeMat-Bulk describes a relaxed AsPOs3 crystal. The functional is PBE.

Values from the calculation:
The calculation puts the excess energy over the best structure of this formula in the dataset at 0 meV per atom.

Cell lengths 4.3902, 4.3902, 4.3902 Å; angles 90.00, 90.00, 90.00 degrees
Fractional positions:
As: 0.0000 0.0000 0.0000
P: 0.5000 0.5000 0.5000
Os: 0.0000 0.5000 0.5000
Os: 0.5000 0.0000 0.5000
Os: 0.5000 0.5000 0.0000

=====

(12)
This record from Alexandria via LeMat-Bulk describes a relaxed AsPOs crystal. The functional is PBE.

Values from the calculation:
The calculation puts the excess energy over the best structure of this formula in the dataset at 789 meV per atom.

Cell lengths 2.8621, 5.0538, 15.1328 Å; angles 90.00, 90.00, 90.00 degrees
Fractional positions:
As: 0.0000 0.0000 0.0000
As: 0.0000 0.5000 0.5000
As: 0.5000 0.0000 0.5000
As: 0.5000 0.5000 0.0000
P: 0.0000 0.0000 0.7336
P: 0.0000 0.5000 0.2336
P: 0.5000 0.0000 0.2336
P: 0.5000 0.5000 0.7336
Os: 0.0000 0.0000 0.3553
Os: 0.0000 0.5000 0.8553
Os: 0.5000 0.0000 0.8553
Os: 0.5000 0.5000 0.3553

=====

(13)
This record from Alexandria via LeMat-Bulk describes a relaxed AsPOs2 crystal. The functional is PBE.

Values from the calculation:
The calculation puts the excess energy over the best structure of this formula in the dataset at 261 meV per atom.

Cell lengths 6.0622, 6.0622, 6.0622 Å; angles 90.00, 90.00, 90.00 degrees
Fractional positions:
As: 0.0000 0.0000 0.0000
As: 0.0000 0.5000 0.5000
As: 0.5000 0.0000 0.5000
As: 0.5000 0.5000 0.0000
P: 0.0000 0.0000 0.5000
P: 0.0000 0.5000 0.0000
P: 0.5000 0.0000 0.0000
P: 0.5000 0.5000 0.5000
Os: 0.2500 0.2500 0.2500
Os: 0.2500 0.2500 0.7500
Os: 0.2500 0.7500 0.2500
Os: 0.2500 0.7500 0.7500
Os: 0.7500 0.2500 0.2500
Os: 0.7500 0.2500 0.7500
Os: 0.7500 0.7500 0.2500
Os: 0.7500 0.7500 0.7500

=====

(14)
This record from Alexandria via LeMat-Bulk describes a relaxed As2POs crystal. The functional is PBE.

Cell lengths 4.2375, 4.6717, 7.1057 Å; angles 90.00, 90.00, 90.00 degrees
Fractional positions:
As: 0.0000 0.0000 0.0000
As: 0.0000 0.5000 0.5000
As: 0.5000 0.0000 0.4026
As: 0.5000 0.5000 0.9026
P: 0.5000 0.0000 0.7749
P: 0.5000 0.5000 0.2749
Os: 0.0000 0.0000 0.6146
Os: 0.0000 0.5000 0.1146

=====

(15)
This record from Alexandria via LeMat-Bulk describes a relaxed As2POs crystal. The functional is PBE.

Cell lengths 5.6127, 5.6127, 10.8682 Å; angles 90.00, 90.00, 90.00 degrees
Fractional positions:
As: 0.2383 0.2500 0.1250
As: 0.2500 0.7383 0.3750
As: 0.2500 0.7617 0.8750
As: 0.2617 0.2500 0.6250
As: 0.7383 0.7500 0.6250
As: 0.7500 0.2383 0.8750
As: 0.7500 0.2617 0.3750
As: 0.7617 0.7500 0.1250
P: 0.0000 0.0000 0.5000
P: 0.0000 0.5000 0.7500
P: 0.5000 0.0000 0.2500
P: 0.5000 0.5000 0.0000
Os: 0.0000 0.0000 0.0000
Os: 0.0000 0.5000 0.2500
Os: 0.5000 0.0000 0.7500
Os: 0.5000 0.5000 0.5000

=====

(16)
This record from Alexandria via LeMat-Bulk describes a relaxed AsPOs2 crystal. The functional is PBE.

Values from the calculation:
The calculation puts the excess energy over the best structure of this formula in the dataset at 616 meV per atom.

Cell lengths 2.9182, 3.9970, 5.1560 Å; angles 90.00, 90.00, 90.00 degrees
Fractional positions:
As: 0.0000 0.0000 0.0000
P: 0.5000 0.0000 0.5000
Os: 0.0000 0.5000 0.5000
Os: 0.5000 0.5000 0.0000

=====

(17)
This record from Alexandria via LeMat-Bulk describes a relaxed AsPOs2 crystal. The functional is PBE.

Values from the calculation:
The calculation puts the excess energy over the best structure of this formula in the dataset at 185 meV per atom.

Cell lengths 5.3907, 5.3907, 10.6334 Å; angles 90.00, 90.00, 90.00 degrees
Fractional positions:
As: 0.0000 0.0000 0.0000
As: 0.0000 0.5000 0.2500
As: 0.5000 0.0000 0.7500
As: 0.5000 0.5000 0.5000
P: 0.0000 0.0000 0.5000
P: 0.0000 0.5000 0.7500
P: 0.5000 0.0000 0.2500
P: 0.5000 0.5000 0.0000
Os: 0.2282 0.2500 0.6250
Os: 0.2500 0.7282 0.8750
Os: 0.2500 0.7718 0.3750
Os: 0.2718 0.2500 0.1250
Os: 0.7282 0.7500 0.1250
Os: 0.7500 0.2282 0.3750
Os: 0.7500 0.2718 0.8750
Os: 0.7718 0.7500 0.6250

=====

(18)
This record from Alexandria via LeMat-Bulk describes a relaxed AsPOs2 crystal. The functional is PBE.

Values from the calculation:
The calculation puts the excess energy over the best structure of this formula in the dataset at 440 meV per atom.

Cell lengths 2.8608, 4.6119, 9.0746 Å; angles 90.00, 90.00, 90.00 degrees
Fractional positions:
As: 0.0000 0.0000 0.0000
As: 0.5000 0.5000 0.5000
P: 0.0000 0.0000 0.5000
P: 0.5000 0.5000 0.0000
Os: 0.0000 0.5000 0.2053
Os: 0.0000 0.5000 0.7947
Os: 0.5000 0.0000 0.2947
Os: 0.5000 0.0000 0.7053

=====

(19)
This record from Alexandria via LeMat-Bulk describes a relaxed AsPOs crystal. The functional is PBE.

Values from the calculation:
The calculation puts the excess energy over the best structure of this formula in the dataset at 406 meV per atom.

Cell lengths 5.8426, 5.8426, 5.8426 Å; angles 90.00, 90.00, 90.00 degrees
Fractional positions:
As: 0.0000 0.0000 0.0000
As: 0.0000 0.5000 0.5000
As: 0.5000 0.0000 0.5000
As: 0.5000 0.5000 0.0000
P: 0.0000 0.0000 0.5000
P: 0.0000 0.5000 0.0000
P: 0.5000 0.0000 0.0000
P: 0.5000 0.5000 0.5000
Os: 0.2500 0.2500 0.2500
Os: 0.2500 0.7500 0.7500
Os: 0.7500 0.2500 0.7500
Os: 0.7500 0.7500 0.2500

=====

(20)
This record from Alexandria via LeMat-Bulk describes a relaxed AsPOs2 crystal. The functional is PBE.

Values from the calculation:
The calculation puts the excess energy over the best structure of this formula in the dataset at 594 meV per atom.

Cell lengths 3.9339, 3.9339, 7.5313 Å; angles 90.00, 90.00, 90.00 degrees
Fractional positions:
As: 0.0000 0.0000 0.0000
As: 0.5000 0.5000 0.5000
P: 0.0000 0.5000 0.2500
P: 0.5000 0.0000 0.7500
Os: 0.0000 0.0000 0.5000
Os: 0.0000 0.5000 0.7500
Os: 0.5000 0.0000 0.2500
Os: 0.5000 0.5000 0.0000

=====

no.,DOS at the Fermi energy (states/eV/f.u.),formation energy (meV/atom)
1,2.39,203
2,1.43,451
3,3.01,888
4,1.89,336
5,2.28,612
6,1.82,378
7,2.21,120
8,3.12,698
9,3.08,179
10,1.10,113
11,2.58,1090
12,2.27,421
13,2.28,323
14,1.13,137
15,2.43,389
16,3.21,678
17,2.07,247
18,2.13,502
19,1.34,38
20,2.97,656